No. 1
The following is a GGA-PBEsol calculation of a relaxed YAsPb2 crystal, from Alexandria.

Structure (POSCAR):
```
YAsPb2
1.0
4.3793 0.0000 0.0000
0.0000 4.3793 0.0000
0.0000 0.0000 5.2455
Y As Pb
1 1 2
direct
0.0000 0.0000 0.0000
0.5000 0.5000 0.0000
0.0000 0.5000 0.5000
0.5000 0.0000 0.5000
```

Output
DOS(E_F): 2.4 states/eV/f.u.
DFT total energy: -21.526 eV for the cell shown
formation energy from the elements: -0.4000 eV/atom

No. 2
The following is a GGA-PBEsol calculation of a relaxed MnIn2Hg crystal, from Alexandria.

Structure (POSCAR):
```
MnIn2Hg
1.0
-1.4592 2.2904 6.2690
1.4592 -2.2904 6.2690
1.4592 2.2904 -6.2690
Mn In Hg
1 2 1
direct
0.0000 0.0000 0.0000
0.1887 0.6887 0.5000
0.4952 0.4952 0.0000
0.8100 0.3100 0.5000
```

Output
DOS(E_F): 2.5 states/eV/f.u.
DFT total energy: -15.621 eV for the cell shown
formation energy from the elements: 0.1683 eV/atom

No. 3
The following is a GGA-PBEsol calculation of a relaxed LiBe4W crystal, from Alexandria.

Structure (POSCAR):
```
LiBe4W
1.0
0.0000 3.0908 3.0908
3.0908 0.0000 3.0908
3.0908 3.0908 0.0000
Li Be W
1 4 1
direct
0.0000 0.0000 0.0000
0.3782 0.3782 0.3782
0.3782 0.3782 0.8654
0.3782 0.8654 0.3782
0.8654 0.3782 0.3782
0.7500 0.7500 0.7500
```

Output
DOS(E_F): 3.2 states/eV/f.u.
DFT total energy: -30.730 eV for the cell shown
formation energy from the elements: 0.1741 eV/atom

Q: Which of these has the lowest DFT total energy?
A: LiBe4W

Q: Look up the DFT total energy of the first one.
A: -21.526 eV for the cell shown

Q: The highest DFT total energy belongs to which entry?
A: MnIn2Hg